The following is a DFT calculation (PBE-GGA) of NaTl2BF6 after structural relaxation.

```
NaTl2BF6
1.0
-4.287 -1.565 3.619
3.750 -3.253 3.046
0.582 0.826 5.739
Na Tl B F
1 2 1 6
direct
0.000 0.000 0.000
0.750 0.250 0.500
0.250 0.750 0.500
0.500 0.500 0.000
0.298 0.298 0.403
0.702 0.702 0.000
0.299 0.701 0.000
0.701 0.299 0.000
0.298 0.298 0.000
0.702 0.702 0.597
```

Properties
- space-group type = I4/mmm, No. 139
- total magnetic moment (μB/cell) = 0.00
- ΔE_f (raw) (eV/atom) = -2.149